1.
Below is Ce6Zn5Os after structural relaxation, with properties calculated at the PBE level.

Cell: 8.2871 8.2871 5.3394 Å, 105.48 105.48 47.24°
Last column: nearest neighbours and their distance in Å.
Sites, in units of the cell vectors:
Ce  0.0630  0.6058  0.2261  1 Os 2.94, 3 Ce 2.98-3.09, 6 Zn 3.01-3.14
Ce  0.2267  0.7733  0.0000  3 Ce 3.01-3.09, 2 Os 3.06, 6 Zn 3.07-3.23
Ce  0.3942  0.9370  0.7739  1 Os 2.94, 3 Ce 2.98-3.09, 6 Zn 3.01-3.14
Ce  0.6058  0.0630  0.2261  1 Os 2.94, 3 Ce 2.98-3.09, 6 Zn 3.01-3.14
Ce  0.7733  0.2267  0.0000  3 Ce 3.01-3.09, 2 Os 3.06, 6 Zn 3.07-3.23
Ce  0.9370  0.3942  0.7739  1 Os 2.94, 3 Ce 2.98-3.09, 6 Zn 3.01-3.14
Zn  0.1759  0.1759  0.2956  1 Zn 2.74, 2 Ce 3.01
Zn  0.3338  0.3338  0.7077  2 Zn 2.74-3.04
Zn  0.5000  0.5000  0.5000  2 Zn 3.04, 8 Ce 3.09-3.23, 2 Os 3.32
Zn  0.6662  0.6662  0.2923  2 Zn 2.74-3.04
Zn  0.8241  0.8241  0.7044  1 Zn 2.74, 2 Ce 3.01
Os  0.0000  0.0000  0.5000  8 Ce 2.94-3.06, 2 Zn 3.17

space-group type	C2/m (12)
mass density	8.76	Mg/m³
total energy	-55.78	eV for the cell shown
size of the total moment	0.0	μB per formula unit

2.
Below is ThTiNi after structural relaxation, with properties calculated at the PBE level.

Cell: 4.1491 4.1491 4.2690 Å, 90.00 90.00 120.00°
Last column: nearest neighbours and their distance in Å.
Sites, in units of the cell vectors:
Th  0.0000  0.0000  0.0000  6 Ti 3.21, 6 Ni 3.21
Ti  0.6667  0.3333  0.5000  3 Ni 2.40
Ni  0.3333  0.6667  0.5000  3 Ti 2.40

space-group type	P-6m2 (187)
mass density	8.83	Mg/m³
total energy	-21.47	eV for the cell shown
size of the total moment	0.0	μB per formula unit

3.
Below is TaV2Ga after structural relaxation, with properties calculated at the PBE level.

Cell: 3.2237 3.2237 5.7824 Å, 90.00 90.00 90.00°
Last column: nearest neighbours and their distance in Å.
Sites, in units of the cell vectors:
Ta  0.0000  0.0000  0.0000  8 V 2.73, 2 Ga 2.89
V  0.5000  0.5000  0.2584  4 Ga 2.67, 4 Ta 2.73, 2 V 2.79-2.99
V  0.5000  0.5000  0.7416  4 Ga 2.67, 4 Ta 2.73, 2 V 2.79-2.99
Ga  0.0000  0.0000  0.5000  8 V 2.67, 2 Ta 2.89

space-group type	P4/mmm (123)
mass density	9.74	Mg/m³
total energy	-33.72	eV for the cell shown
size of the total moment	0.0	μB per formula unit

4.
Below is ZrCu2Te after structural relaxation, with properties calculated at the PBE level.

Cell: 4.7192 4.7192 4.7192 Å, 60.00 60.00 60.00°
Last column: nearest neighbours and their distance in Å.
Sites, in units of the cell vectors:
Zr  0.0000  0.0000  0.0000  4 Te 2.89, 4 Cu 2.89
Cu  0.2500  0.2500  0.2500  4 Zr 2.89, 4 Cu 2.89
Cu  0.5000  0.5000  0.5000  4 Te 2.89, 4 Cu 2.89
Te  0.7500  0.7500  0.7500  4 Zr 2.89, 4 Cu 2.89

space-group type	F-43m (216)
mass density	7.73	Mg/m³
uncorrected formation energy	0.31	eV/f.u.
total energy	-19.57	eV for the cell shown
size of the total moment	0.0	μB per formula unit

5.
Below is BeNbInGa2 after structural relaxation, with properties calculated at the PBE level.

Cell: 4.9586 4.9586 5.4315 Å, 90.00 90.00 90.00°
Last column: nearest neighbours and their distance in Å.
Sites, in units of the cell vectors:
Be  0.0000  0.0000  0.0000  4 Nb 3.51, 8 Ga 3.68
Nb  0.5000  0.5000  0.0000  2 In 2.72
In  0.5000  0.5000  0.5000  4 Ga 2.48, 2 Nb 2.72
Ga  0.0000  0.5000  0.5000  2 In 2.48
Ga  0.5000  0.0000  0.5000  2 In 2.48

space-group type	P4/mmm (123)
mass density	4.43	Mg/m³
total energy	-14.71	eV for the cell shown
size of the total moment	1.9	μB per formula unit

6.
Below is BeOsRu after structural relaxation, with properties calculated at the PBE level.

Cell: 3.5732 3.5732 5.9730 Å, 90.00 90.00 90.00°
Last column: nearest neighbours and their distance in Å.
Sites, in units of the cell vectors:
Be  0.2500  0.2500  0.2095  1 Os 2.26, 4 Ru 2.49
Be  0.7500  0.7500  0.7905  1 Os 2.26, 4 Ru 2.49
Os  0.2500  0.2500  0.8312  1 Be 2.26
Os  0.7500  0.7500  0.1688  1 Be 2.26
Ru  0.2500  0.7500  0.5000  4 Be 2.49, 4 Ru 2.53, 4 Os 2.67
Ru  0.7500  0.2500  0.5000  4 Be 2.49, 4 Ru 2.53, 4 Os 2.67

space-group type	P4/nmm (129)
mass density	13.08	Mg/m³
total energy	-47.03	eV for the cell shown
size of the total moment	0.0	μB per formula unit

What did the second record say?
Below is ThTiNi after structural relaxation, with properties calculated at the PBE level.

Cell: 4.1491 4.1491 4.2690 Å, 90.00 90.00 120.00°
Last column: nearest neighbours and their distance in Å.
Sites, in units of the cell vectors:
Th  0.0000  0.0000  0.0000  6 Ti 3.21, 6 Ni 3.21
Ti  0.6667  0.3333  0.5000  3 Ni 2.40
Ni  0.3333  0.6667  0.5000  3 Ti 2.40

space-group type	P-6m2 (187)
mass density	8.83	Mg/m³
total energy	-21.47	eV for the cell shown
size of the total moment	0.0	μB per formula unit